(1)
# MnCo2Pt (GGA-PBE, relaxed)
data_MnCo2Pt
_cell_length_a 2.678
_cell_length_b 3.649
_cell_length_c 5.222
_cell_angle_alpha 90.00
_cell_angle_beta 90.18
_cell_angle_gamma 90.00
_symmetry_space_group_name_H-M 'P 1'
_symmetry_Int_Tables_number 1
_symmetry_space_group_name_Hall 'P 1'
loop_
_atom_site_label
_atom_site_type_symbol
_atom_site_fract_x
_atom_site_fract_y
_atom_site_fract_z
_atom_site_occupancy
Mn1 Mn 0.000 0.000 0.000 1
Co1 Co 0.499 0.500 0.236 1
Co2 Co 0.501 0.500 0.764 1
Pt1 Pt 0.000 0.000 0.500 1
# Electronic total energy, eV/f.u.: -29.36
# Magnetic moment, μB/cell: 6.66
# Calculated formation energy, meV/atom: 16

---

(2)
# KRbNa2Pb (GGA-PBE, relaxed)
data_KRbNa2Pb
_cell_length_a 6.220
_cell_length_b 6.220
_cell_length_c 6.801
_cell_angle_alpha 90.00
_cell_angle_beta 90.00
_cell_angle_gamma 90.00
_symmetry_space_group_name_H-M 'P 1'
_symmetry_Int_Tables_number 1
_symmetry_space_group_name_Hall 'P 1'
loop_
_atom_site_label
_atom_site_type_symbol
_atom_site_fract_x
_atom_site_fract_y
_atom_site_fract_z
_atom_site_occupancy
K1 K 0.000 0.000 0.000 1
Rb1 Rb 0.500 0.500 0.000 1
Na1 Na 0.000 0.500 0.500 1
Na2 Na 0.500 0.000 0.500 1
Pb1 Pb 0.000 0.000 0.500 1
# Electronic total energy, eV/f.u.: -8.51
# Energy above the most stable polymorph in this dataset, eV per atom: 0.000
# Magnetic moment, μB/cell: 0.00
# Calculated formation energy, meV/atom: -21

---

(3)
# HfTaS2 (GGA-PBE, relaxed)
data_HfTaS2
_cell_length_a 8.629
_cell_length_b 8.629
_cell_length_c 8.629
_cell_angle_alpha 21.59
_cell_angle_beta 21.59
_cell_angle_gamma 21.59
_symmetry_space_group_name_H-M 'P 1'
_symmetry_Int_Tables_number 1
_symmetry_space_group_name_Hall 'P 1'
loop_
_atom_site_label
_atom_site_type_symbol
_atom_site_fract_x
_atom_site_fract_y
_atom_site_fract_z
_atom_site_occupancy
Hf1 Hf 0.000 0.000 0.000 1
Ta1 Ta 0.500 0.500 0.500 1
S1 S 0.101 0.101 0.101 1
S2 S 0.899 0.899 0.899 1
# Electronic total energy, eV/f.u.: -32.71
# Energy above the most stable polymorph in this dataset, eV per atom: 0.079
# Magnetic moment, μB/cell: 0.64
# Formation energy (no corrections), kcal/mol of atoms: -15.275

---

(4)
# TbTh3Pt4 (GGA-PBE, relaxed)
data_TbTh3Pt4
_cell_length_a 7.232
_cell_length_b 8.416
_cell_length_c 7.178
_cell_angle_alpha 90.00
_cell_angle_beta 109.87
_cell_angle_gamma 90.00
_symmetry_space_group_name_H-M 'P 1'
_symmetry_Int_Tables_number 1
_symmetry_space_group_name_Hall 'P 1'
loop_
_atom_site_label
_atom_site_type_symbol
_atom_site_fract_x
_atom_site_fract_y
_atom_site_fract_z
_atom_site_occupancy
Tb1 Tb 0.000 0.125 0.250 1
Tb2 Tb 0.000 0.875 0.750 1
Th1 Th 0.000 0.373 0.750 1
Th2 Th 0.000 0.627 0.250 1
Th3 Th 0.500 0.124 0.750 1
Th4 Th 0.500 0.374 0.250 1
Th5 Th 0.500 0.626 0.750 1
Th6 Th 0.500 0.876 0.250 1
Pt1 Pt 0.250 0.376 0.500 1
Pt2 Pt 0.250 0.624 0.000 1
Pt3 Pt 0.251 0.125 0.000 1
Pt4 Pt 0.251 0.875 0.500 1
Pt5 Pt 0.749 0.125 0.500 1
Pt6 Pt 0.749 0.875 0.000 1
Pt7 Pt 0.750 0.376 0.000 1
Pt8 Pt 0.750 0.624 0.500 1
# Electronic total energy, eV/f.u.: -60.71
# Magnetic moment, μB/cell: 0.00
# Calculated formation energy, meV/atom: -1207

---

(5)
# LiDySnOs (GGA-PBE, relaxed)
data_LiDySnOs
_cell_length_a 4.732
_cell_length_b 4.732
_cell_length_c 4.732
_cell_angle_alpha 60.00
_cell_angle_beta 60.00
_cell_angle_gamma 60.00
_symmetry_space_group_name_H-M 'P 1'
_symmetry_Int_Tables_number 1
_symmetry_space_group_name_Hall 'P 1'
loop_
_atom_site_label
_atom_site_type_symbol
_atom_site_fract_x
_atom_site_fract_y
_atom_site_fract_z
_atom_site_occupancy
Li1 Li 0.000 0.000 0.000 1
Dy1 Dy 0.750 0.750 0.750 1
Sn1 Sn 0.250 0.250 0.250 1
Os1 Os 0.500 0.500 0.500 1
# Electronic total energy, eV/f.u.: -22.76
# Magnetic moment, μB/cell: 0.00
# Calculated formation energy, meV/atom: -252

---

(6)
# RbReSi3 (GGA-PBE, relaxed)
data_RbReSi3
_cell_length_a 4.794
_cell_length_b 4.794
_cell_length_c 4.794
_cell_angle_alpha 90.00
_cell_angle_beta 90.00
_cell_angle_gamma 90.00
_symmetry_space_group_name_H-M 'P 1'
_symmetry_Int_Tables_number 1
_symmetry_space_group_name_Hall 'P 1'
loop_
_atom_site_label
_atom_site_type_symbol
_atom_site_fract_x
_atom_site_fract_y
_atom_site_fract_z
_atom_site_occupancy
Rb1 Rb 0.000 0.000 0.000 1
Re1 Re 0.500 0.500 0.500 1
Si1 Si 0.000 0.500 0.500 1
Si2 Si 0.500 0.000 0.500 1
Si3 Si 0.500 0.500 0.000 1
# Electronic total energy, eV/f.u.: -28.10
# Energy above the most stable polymorph in this dataset, eV per atom: 0.000
# Magnetic moment, μB/cell: 0.00
# Formation energy (no corrections), kcal/mol of atoms: 7.316